# 1
First-principles (GGA-PBEsol) data for crystalline Ba2TlCr at its relaxed geometry, as listed in Alexandria via LeMat-Bulk.

The formation energy comes out at 0.2527 eV per atom.

The space group is Amm2 (No. 38) and the conventional cell measures 4.889, 5.124 and 12.056 Å, with angles of 90.00, 90.00 and 90.00 degrees. Symmetry generates all atoms from Ba at (0.000, 0.000, 0.000), Ba at (0.500, 0.000, 0.292), Tl at (0.500, 0.000, 0.588) and Cr at (0.000, 0.000, 0.700).

***

# 2
First-principles (GGA-PBEsol) data for crystalline BaCr2W at its relaxed geometry, as listed in Alexandria via LeMat-Bulk.

As for the energy above the most stable polymorph in this dataset: 0.71 eV/f.u. The formation energy comes out at 1.0425 eV per atom.

The space group is Imm2 (No. 44) and the conventional cell measures 3.056, 4.239 and 13.186 Å, with angles of 90.00, 90.00 and 90.00 degrees. Symmetry generates all atoms from Ba at (0.000, 0.000, 0.000), Cr at (0.000, 0.000, 0.337), Cr at (0.000, 0.500, 0.724) and W at (0.000, 0.500, 0.236).

***

# 3
First-principles (GGA-PBEsol) data for crystalline BaCr3W at its relaxed geometry, as listed in Alexandria via LeMat-Bulk.

The formation energy comes out at 1.3075 eV per atom.

The space group is Pm-3m (No. 221) and the conventional cell measures 4.810, 4.810 and 4.810 Å, with angles of 90.00, 90.00 and 90.00 degrees. Symmetry generates all atoms from Ba at (0.000, 0.000, 0.000), Cr at (0.000, 0.500, 0.500) and W at (0.500, 0.500, 0.500).

***

# 4
First-principles (GGA-PBEsol) data for crystalline BaCr2W at its relaxed geometry, as listed in Alexandria via LeMat-Bulk.

As for the energy above the most stable polymorph in this dataset: 0.00 eV/f.u. The formation energy comes out at 0.8642 eV per atom.

The space group is P2/m (No. 10) and the conventional cell measures 2.930, 3.981 and 6.962 Å, with angles of 90.00, 90.78 and 90.00 degrees. Symmetry generates all atoms from Ba at (0.000, 0.000, 0.000), Cr at (0.097, 0.500, 0.637) and W at (0.500, 0.000, 0.500).

***

# 5
First-principles (GGA-PBEsol) data for crystalline BaCr2W at its relaxed geometry, as listed in Alexandria via LeMat-Bulk.

As for the energy above the most stable polymorph in this dataset: 0.49 eV/f.u. The formation energy comes out at 0.9860 eV per atom.

The space group is C2/m (No. 12) and the conventional cell measures 8.914, 3.085 and 6.371 Å, with angles of 90.00, 101.17 and 90.00 degrees. Symmetry generates all atoms from Ba at (0.000, 0.000, 0.000), Cr at (0.221, 0.000, 0.608) and W at (0.000, 0.500, 0.500).

***

# 6
First-principles (GGA-PBEsol) data for crystalline BaCr2W at its relaxed geometry, as listed in Alexandria via LeMat-Bulk.

As for the energy above the most stable polymorph in this dataset: 0.23 eV/f.u. The formation energy comes out at 0.9214 eV per atom.

The space group is Pm (No. 6) and the conventional cell measures 2.981, 3.534 and 7.558 Å, with angles of 90.00, 98.22 and 90.00 degrees. Symmetry generates all atoms from Ba at (0.000, 0.000, 0.000), Cr at (0.493, 0.500, 0.348), Cr at (0.895, 0.000, 0.476) and W at (0.379, 0.500, 0.636).